Model i:
Below is LiCaRe at its PBEsol-relaxed geometry, with properties calculated at the meta-GGA SCAN level.

Cell and atoms, written as POSCAR:
```
LiCaRe
1.0
4.656 0.000 0.000
2.328 4.032 0.000
2.328 1.344 3.802
Li Ca Re
1 1 1
direct
0.000 0.000 0.000
0.250 0.250 0.250
0.500 0.500 0.500
```

Results
- DOS at the Fermi energy: 1.29 states/eV/cell
- Calculated volume: 23.791 Å³/atom
- Crystal system: cubic

Model ii:
Below is LiCaRe at its PBEsol-relaxed geometry, with properties calculated at the meta-GGA SCAN level.

Cell and atoms, written as POSCAR:
```
LiCaRe
1.0
2.569 0.000 0.000
0.000 4.553 0.000
-1.284 -2.276 4.592
Re Ca Li
1 1 1
direct
0.322 0.322 0.644
0.996 0.996 0.991
0.682 0.682 0.365
```

Results
- DOS at the Fermi energy: 2.63 states/eV/cell
- Calculated volume: 17.903 Å³/atom
- Crystal system: orthorhombic

model ii is preferred energetically. Next in line: 1.048 eV/atom higher.

Model i:
Below is Li2CaSn2 at its PBEsol-relaxed geometry, with properties calculated at the meta-GGA SCAN level.

Cell and atoms, written as POSCAR:
```
Li2CaSn2
1.0
-2.877 0.743 1.008
-3.266 -5.378 -5.359
0.457 -5.962 5.705
Sn Ca Li
4 2 4
direct
0.500 0.322 0.178
0.500 0.178 0.678
0.500 0.822 0.322
0.500 0.678 0.822
0.000 0.000 0.000
0.000 0.500 0.500
0.000 0.616 0.116
0.000 0.116 0.384
0.000 0.384 0.884
0.000 0.884 0.616
```

Results
- DOS at the Fermi energy: 3.20 states/eV/cell
- Calculated volume: 21.433 Å³/atom
- Crystal system: tetragonal

Model ii:
Below is Li2CaSn2 at its PBEsol-relaxed geometry, with properties calculated at the meta-GGA SCAN level.

Cell and atoms, written as POSCAR:
```
Li2CaSn2
1.0
-1.047 4.175 -0.199
-4.134 -1.065 -0.585
1.685 -1.484 6.665
Li Sn Ca
2 2 1
direct
0.250 0.750 0.500
0.750 0.250 0.500
0.391 0.391 0.782
0.609 0.609 0.218
0.000 0.000 0.000
```

Results
- DOS at the Fermi energy: 2.29 states/eV/cell
- Calculated volume: 23.540 Å³/atom
- Crystal system: tetragonal

model ii is preferred energetically. Next in line: 0.010 eV/atom higher.